A PBEsol-optimized structure of LiMn, computed with SCAN.

Properties
Its density of states at the Fermi level is 0.791 states/eV per atom. The calculation puts the total energy at -9.864 eV per atom. The formation energy comes out at 44 kJ/mol of atoms. As for the crystal system: trigonal.

a = 2.387 Å, b = 2.387 Å, c = 4.741 Å
α = 75.42°, β = 75.42°, γ = 60.00°
Fractional coordinates of all 2 atoms:
1 Mn 0.500 0.500 0.500
2 Li 0.000 0.000 0.000